Density functional theory data (PBE with a Hubbard U) for a relaxed structure of RbMnOF2.

Its energy above the most stable polymorph in this dataset is 1.630 eV per atom.

The structure belongs to space group P4/mmm (No. 123); the cell edges are 4.8265, 4.8265 and 4.4150 Å and the angles 90.00°, 90.00° and 90.00°. Symmetry generates all atoms from Rb at (0.0000, 0.0000, 0.0000), Mn at (0.5000, 0.5000, 0.5000), O at (0.0000, 0.0000, 0.5000) and F at (0.0000, 0.5000, 0.0000).